This record from the Alexandria database describes a relaxed structure of HfMg2Pd2. The functional is PBE.

The formation energy comes out at -0.47 eV/atom. The value obtained for the spin magnetization is 0.00 Bohr magnetons per cell. The value obtained for the energy relative to the lowest polymorph listed for this composition is 60 meV per atom.

Cell: 7.0434 7.0434 3.7618 Å, 90.00 90.00 90.00°
With the nearest neighbours (Å) after each atom.
Fractional coordinates of all 10 atoms:
Mg1 0.1576 0.6576 0.5000  6 Pd 2.75-2.82
Mg2 0.6576 0.8424 0.5000  6 Pd 2.75-2.82
Mg3 0.8424 0.3424 0.5000  6 Pd 2.75-2.82
Mg4 0.3424 0.1576 0.5000  6 Pd 2.75-2.82
Hf1 0.0000 0.0000 0.0000  4 Pd 2.72
Hf2 0.5000 0.5000 0.0000  4 Pd 2.72
Pd1 0.3596 0.8596 0.0000  2 Hf 2.72, 6 Mg 2.75-2.82, 1 Pd 2.80
Pd2 0.8596 0.6404 0.0000  2 Hf 2.72, 6 Mg 2.75-2.82, 1 Pd 2.80
Pd3 0.6404 0.1404 0.0000  2 Hf 2.72, 6 Mg 2.75-2.82, 1 Pd 2.80
Pd4 0.1404 0.3596 0.0000  2 Hf 2.72, 6 Mg 2.75-2.82, 1 Pd 2.80